(1)
# Tl2B4S5

An optimized crystal structure of Tl2B4S5 (PBE, Alexandria via LeMat-Bulk).

Cell: 6.173 4.852 10.170 Å, 79.25 72.33 50.49°
Element x y z (fractional)
1 B 0.615 0.022 0.747
2 B 0.865 0.559 0.710
3 B 0.135 0.441 0.290
4 B 0.385 0.978 0.253
5 S 0.783 0.744 0.205
6 S 0.269 0.744 0.205
7 S 0.731 0.256 0.795
8 S 0.217 0.256 0.795
9 S 0.000 0.500 0.500
10 Tl 0.698 0.222 0.382
11 Tl 0.302 0.778 0.618

- V: 224 Å³/cell
- SG: C2/m (12)
- E_form (uncorrected): 0.146 eV/atom

=====

(2)
# Tl3B2S4

An optimized crystal structure of Tl3B2S4 (PBE, Alexandria via LeMat-Bulk).

Cell: 5.768 9.184 9.184 Å, 58.10 97.03 97.03°
Element x y z (fractional)
1 Tl 0.750 0.447 0.553
2 Tl 0.946 0.938 0.259
3 Tl 0.554 0.741 0.062
4 Tl 0.054 0.062 0.741
5 Tl 0.250 0.553 0.447
6 Tl 0.446 0.259 0.938
7 B 0.548 0.839 0.618
8 B 0.048 0.618 0.839
9 B 0.452 0.161 0.382
10 B 0.952 0.382 0.161
11 S 0.632 0.366 0.228
12 S 0.868 0.772 0.634
13 S 0.132 0.228 0.366
14 S 0.368 0.634 0.772
15 S 0.463 0.957 0.371
16 S 0.037 0.629 0.043
17 S 0.963 0.371 0.957
18 S 0.537 0.043 0.629

- V: 409 Å³/cell
- SG: C2/c (15)
- E_form (uncorrected): -0.303 eV/atom

=====

(3)
# Tl2B3S5

An optimized crystal structure of Tl2B3S5 (PBE, Alexandria via LeMat-Bulk).

Cell: 5.643 9.749 9.749 Å, 62.45 73.18 73.18°
Element x y z (fractional)
1 B 0.250 0.000 0.000
2 B 0.100 0.400 0.400
3 B 0.900 0.600 0.600
4 B 0.400 0.600 0.600
5 B 0.750 0.000 0.000
6 B 0.600 0.400 0.400
7 S 0.436 0.160 0.968
8 S 0.250 0.500 0.500
9 S 0.064 0.032 0.840
10 S 0.571 0.679 0.679
11 S 0.929 0.321 0.321
12 S 0.071 0.679 0.679
13 S 0.750 0.500 0.500
14 S 0.429 0.321 0.321
15 S 0.936 0.968 0.160
16 S 0.564 0.840 0.032
17 Tl 0.832 0.338 0.999
18 Tl 0.668 0.001 0.662
19 Tl 0.168 0.662 0.001
20 Tl 0.332 0.999 0.338

- V: 447 Å³/cell
- SG: Ibam (72)
- E_form (uncorrected): 0.003 eV/atom

=====

(4)
# TlB2S

An optimized crystal structure of TlB2S (PBE, Alexandria via LeMat-Bulk).

Cell: 4.463 4.463 4.463 Å, 60.00 60.00 60.00°
Element x y z (fractional)
1 B 0.250 0.250 0.250
2 B 0.750 0.750 0.750
3 S 0.000 0.000 0.000
4 Tl 0.500 0.500 0.500

- V: 63 Å³/cell
- SG: Fm-3m (225)
- E_form (uncorrected): 1.892 eV/atom

=====

no.,D(E_F) (states/eV/f.u.)
1,1.65
2,1.79
3,2.36
4,2.68